NiGeP2S | PBEsol | relaxed

Geometry as CIF:
```
data_NiGeP2S
_symmetry_space_group_name_H-M 'P 4/m m m'
_symmetry_Int_Tables_number 123
_symmetry_space_group_name_Hall '-P 4 2'
_cell_length_a 4.241
_cell_length_b 4.241
_cell_length_c 4.785
_cell_angle_alpha 90.00
_cell_angle_beta 90.00
_cell_angle_gamma 90.00
loop_
_atom_site_label
_atom_site_type_symbol
_atom_site_fract_x
_atom_site_fract_y
_atom_site_fract_z
_atom_site_occupancy
Ni1 Ni 0.000 0.000 0.000 1
Ge1 Ge 0.500 0.500 0.500 1
P1 P 0.000 0.500 0.000 1
S1 S 0.000 0.000 0.500 1
```

Output
The uncorrected formation energy comes out at 2.43 eV/f.u. As for the spin magnetization: 0.0 μB per cell. As for the calculated volume: 17.2 A^3/atom. The total energy is -4.927 eV/atom.

NiGe3Pb | PBEsol | relaxed

Geometry as CIF:
```
data_NiGe3Pb
_symmetry_space_group_name_H-M 'P m -3 m'
_symmetry_Int_Tables_number 221
_symmetry_space_group_name_Hall '-P 4 2 3'
_cell_length_a 4.647
_cell_length_b 4.647
_cell_length_c 4.647
_cell_angle_alpha 90.00
_cell_angle_beta 90.00
_cell_angle_gamma 90.00
loop_
_atom_site_label
_atom_site_type_symbol
_atom_site_fract_x
_atom_site_fract_y
_atom_site_fract_z
_atom_site_occupancy
Ni1 Ni 0.000 0.000 0.000 1
Ge1 Ge 0.000 0.000 0.500 1
Pb1 Pb 0.500 0.500 0.500 1
```

Output
As for the spin magnetization: 0.0 μB per cell. As for the calculated volume: 20.1 A^3/atom. The total energy is -4.821 eV/atom.

NiGePd | PBEsol | relaxed

Geometry as CIF:
```
data_NiGePd
_symmetry_space_group_name_H-M 'P 4/n m m'
_symmetry_Int_Tables_number 129
_cell_length_a 3.583
_cell_length_b 3.583
_cell_length_c 6.197
_cell_angle_alpha 90.00
_cell_angle_beta 90.00
_cell_angle_gamma 90.00
loop_
_symmetry_equiv_pos_as_xyz
'x,y,z'
'-x,-y,-z'
'-y+1/2,x,z'
'y+1/2,-x,-z'
'-x+1/2,-y+1/2,z'
'x+1/2,y+1/2,-z'
'y,-x+1/2,z'
'-y,x+1/2,-z'
'x+1/2,-y,-z'
'-x+1/2,y,z'
'-y,-x,-z'
'y,x,z'
'-x,y+1/2,-z'
'x,-y+1/2,z'
'y+1/2,x+1/2,-z'
'-y+1/2,-x+1/2,z'
loop_
_atom_site_label
_atom_site_type_symbol
_atom_site_fract_x
_atom_site_fract_y
_atom_site_fract_z
_atom_site_occupancy
Ni1 Ni 0.250 0.750 0.000 1
Ge1 Ge 0.250 0.250 0.246 1
Pd1 Pd 0.250 0.250 0.640 1
```

Output
As for the spin magnetization: 0.0 μB per cell. As for the calculated volume: 13.3 A^3/atom. The total energy is -6.188 eV/atom.

Ni2Ge2Pd | PBEsol | relaxed

Geometry as CIF:
```
data_Ni2Ge2Pd
_symmetry_space_group_name_H-M 'I 4/m m m'
_symmetry_Int_Tables_number 139
_symmetry_space_group_name_Hall '-I 4 2'
_cell_length_a 3.595
_cell_length_b 3.595
_cell_length_c 10.715
_cell_angle_alpha 90.00
_cell_angle_beta 90.00
_cell_angle_gamma 90.00
loop_
_atom_site_label
_atom_site_type_symbol
_atom_site_fract_x
_atom_site_fract_y
_atom_site_fract_z
_atom_site_occupancy
Ni1 Ni 0.000 0.500 0.250 1
Ge1 Ge 0.000 0.000 0.112 1
Pd1 Pd 0.000 0.000 0.500 1
```

Output
As for the spin magnetization: 0.0 μB per cell. As for the calculated volume: 13.8 A^3/atom. The total energy is -5.781 eV/atom.

Pr3NiGe2 | PBEsol | relaxed

Geometry as CIF:
```
data_Pr3NiGe2
_symmetry_space_group_name_H-M 'P n m a'
_symmetry_Int_Tables_number 62
_cell_length_a 11.771
_cell_length_b 4.249
_cell_length_c 11.504
_cell_angle_alpha 90.00
_cell_angle_beta 90.00
_cell_angle_gamma 90.00
loop_
_symmetry_equiv_pos_as_xyz
'x,y,z'
'-x,-y,-z'
'-x+1/2,-y,z+1/2'
'x+1/2,y,-z+1/2'
'x+1/2,-y+1/2,-z+1/2'
'-x+1/2,y+1/2,z+1/2'
'-x,y+1/2,-z'
'x,-y+1/2,z'
loop_
_atom_site_label
_atom_site_type_symbol
_atom_site_fract_x
_atom_site_fract_y
_atom_site_fract_z
_atom_site_occupancy
Pr1 Pr 0.058 0.250 0.123 1
Pr2 Pr 0.117 0.750 0.558 1
Pr3 Pr 0.216 0.250 0.800 1
Ni1 Ni 0.129 0.250 0.364 1
Ge1 Ge 0.025 0.750 0.311 1
Ge2 Ge 0.199 0.750 0.993 1
```

Output
As for the spin magnetization: 0.0 μB per cell. As for the calculated volume: 24.0 A^3/atom. The total energy is -5.992 eV/atom.

NiGePt2 | PBEsol | relaxed

Geometry as CIF:
```
data_NiGePt2
_symmetry_space_group_name_H-M 'F m m m'
_symmetry_Int_Tables_number 69
_symmetry_space_group_name_Hall '-F 2 2'
_cell_length_a 7.307
_cell_length_b 7.681
_cell_length_c 7.789
_cell_angle_alpha 90.00
_cell_angle_beta 90.00
_cell_angle_gamma 90.00
loop_
_atom_site_label
_atom_site_type_symbol
_atom_site_fract_x
_atom_site_fract_y
_atom_site_fract_z
_atom_site_occupancy
Ni1 Ni 0.000 0.204 0.000 1
Ge1 Ge 0.000 0.000 0.231 1
Pt1 Pt 0.199 0.000 0.500 1
Pt2 Pt 0.250 0.250 0.250 1
```

Output
As for the spin magnetization: 0.0 μB per cell. As for the calculated volume: 13.7 A^3/atom. The total energy is -6.622 eV/atom.